1.
A plane-wave DFT calculation with GGA-PBE was carried out for a geometry-optimized Pr2Bi4Sb structure.

Cell and atoms, written as POSCAR:
```
Pr2Bi4Sb
1.0
6.092 0.026 -3.490
-2.019 5.748 -3.490
-0.110 -0.155 6.865
Bi Pr Sb
4 2 1
direct
0.786 0.786 0.072
0.286 0.286 0.071
0.286 0.786 0.071
0.786 0.286 0.071
0.786 0.286 0.571
0.286 0.786 0.571
0.786 0.786 0.571
```

Values from the calculation:
**Crystal system**: tetragonal
**Formation energy without anion corrections**: -476 meV per atom
**D(E_F)**: 4.318 states/eV per cell

=====

2.
A plane-wave DFT calculation with GGA-PBE was carried out for a geometry-optimized Pr5BiSb4 structure.

Cell and atoms, written as POSCAR:
```
Pr5BiSb4
1.0
6.469 0.000 0.000
3.234 7.233 0.000
3.234 0.000 7.233
Sb Pr Bi
4 5 1
direct
0.801 0.801 0.599
0.400 0.401 0.801
0.201 0.199 0.401
0.602 0.599 0.199
0.900 0.404 0.798
0.304 0.798 0.596
0.698 0.202 0.404
0.501 0.000 0.000
0.102 0.596 0.202
0.001 0.000 0.000
```

Values from the calculation:
**Crystal system**: tetragonal
**Formation energy without anion corrections**: -1146 meV per atom
**D(E_F)**: 1.425 states/eV per cell